(1)
This record from Alexandria via LeMat-Bulk describes a geometry-optimized Pm2SmAl3 structure. The functional is PBE.

Calculated volume = 151.0 Å³ per cell
Formation energy from the elements = -0.370 eV/atom
E_tot = -27.7 eV per cell

a = 3.6880 Å, b = 3.6880 Å, c = 11.1046 Å
α = 90.00°, β = 90.00°, γ = 90.00°
Closest atoms and distances in Å follow each position.
Space group P4/mmm (No. 123)
Symmetry-distinct sites (fractional):
Pm: 0.0000 0.0000 0.1674  8 Al 3.20
Sm: 0.0000 0.0000 0.5000  8 Al 3.19
Al: 0.5000 0.5000 0.0000  8 Pm 3.20
Al: 0.5000 0.5000 0.3351  4 Sm 3.19, 4 Pm 3.20

***

(2)
This record from Alexandria via LeMat-Bulk describes a geometry-optimized PmSm2Al structure. The functional is PBE.

Calculated volume = 371.4 Å³ per cell
Formation energy from the elements = -0.044 eV/atom
E_tot = -54.3 eV per cell

a = 3.6664 Å, b = 3.6664 Å, c = 31.8994 Å
α = 90.00°, β = 90.00°, γ = 120.00°
Closest atoms and distances in Å follow each position.
Space group R3m (No. 160, hexagonal axes)
Symmetry-distinct sites (fractional):
Pm: 0.0000 0.0000 0.0000  6 Pm 3.67, 6 Sm 3.69-3.70
Sm: 0.0000 0.0000 0.2383  3 Al 3.11
Sm: 0.0000 0.0000 0.4283  3 Al 3.13
Al: 0.0000 0.0000 0.8337  6 Sm 3.11-3.13

***

What did the second record say?
This record from Alexandria via LeMat-Bulk describes a geometry-optimized PmSm2Al structure. The functional is PBE.

Calculated volume = 371.4 Å³ per cell
Formation energy from the elements = -0.044 eV/atom
E_tot = -54.3 eV per cell

a = 3.6664 Å, b = 3.6664 Å, c = 31.8994 Å
α = 90.00°, β = 90.00°, γ = 120.00°
Closest atoms and distances in Å follow each position.
Space group R3m (No. 160, hexagonal axes)
Symmetry-distinct sites (fractional):
Pm: 0.0000 0.0000 0.0000  6 Pm 3.67, 6 Sm 3.69-3.70
Sm: 0.0000 0.0000 0.2383  3 Al 3.11
Sm: 0.0000 0.0000 0.4283  3 Al 3.13
Al: 0.0000 0.0000 0.8337  6 Sm 3.11-3.13

***

- Which of these has the highest E_tot?
  Pm2SmAl3

***

What did the first record say?
This record from Alexandria via LeMat-Bulk describes a geometry-optimized Pm2SmAl3 structure. The functional is PBE.

Calculated volume = 151.0 Å³ per cell
Formation energy from the elements = -0.370 eV/atom
E_tot = -27.7 eV per cell

a = 3.6880 Å, b = 3.6880 Å, c = 11.1046 Å
α = 90.00°, β = 90.00°, γ = 90.00°
Closest atoms and distances in Å follow each position.
Space group P4/mmm (No. 123)
Symmetry-distinct sites (fractional):
Pm: 0.0000 0.0000 0.1674  8 Al 3.20
Sm: 0.0000 0.0000 0.5000  8 Al 3.19
Al: 0.5000 0.5000 0.0000  8 Pm 3.20
Al: 0.5000 0.5000 0.3351  4 Sm 3.19, 4 Pm 3.20

***

Repeat the second record exactly.
This record from Alexandria via LeMat-Bulk describes a geometry-optimized PmSm2Al structure. The functional is PBE.

Calculated volume = 371.4 Å³ per cell
Formation energy from the elements = -0.044 eV/atom
E_tot = -54.3 eV per cell

a = 3.6664 Å, b = 3.6664 Å, c = 31.8994 Å
α = 90.00°, β = 90.00°, γ = 120.00°
Closest atoms and distances in Å follow each position.
Space group R3m (No. 160, hexagonal axes)
Symmetry-distinct sites (fractional):
Pm: 0.0000 0.0000 0.0000  6 Pm 3.67, 6 Sm 3.69-3.70
Sm: 0.0000 0.0000 0.2383  3 Al 3.11
Sm: 0.0000 0.0000 0.4283  3 Al 3.13
Al: 0.0000 0.0000 0.8337  6 Sm 3.11-3.13